Entry from Alexandria via LeMat-Bulk: a geometry-optimized ZnCr4Mo structure (PBE-GGA).

Energy of formation in meV per atom: 98
Calculated volume in Å³/cell: 77
Magnetization in μB per cell: 0.0
E_tot in eV/cell: -50.012

Structure (CIF):
```
data_ZnCr4Mo
_chemical_formula_sum 'Zn1 Cr4 Mo1'
_cell_length_a 4.777
_cell_length_b 4.777
_cell_length_c 4.777
_cell_angle_alpha 60.00
_cell_angle_beta 60.00
_cell_angle_gamma 60.00
_space_group_name_H-M_alt 'P 1'
_space_group_IT_number 1
loop_
_space_group_symop_operation_xyz
'x,y,z'
loop_
_atom_site_label
_atom_site_type_symbol
_atom_site_fract_x
_atom_site_fract_y
_atom_site_fract_z
Mo1 Mo 0.750 0.750 0.750
Zn1 Zn 0.000 0.000 0.000
Cr1 Cr 0.878 0.374 0.374
Cr2 Cr 0.374 0.878 0.374
Cr3 Cr 0.374 0.374 0.374
Cr4 Cr 0.374 0.374 0.878
```